# 1
# AlSbN2F

AlSbN2F after structural relaxation (PBE, Alexandria via LeMat-Bulk).

a = 4.1075 Å, b = 4.1075 Å, c = 4.1062 Å
α = 90.00°, β = 90.00°, γ = 90.00°
Last column: nearest neighbours and their distance in Å.
Space group P4/mmm (No. 123)
One atom of each set of equivalent atoms:
1 Al 0.0000 0.0000 0.0000 [1 per cell]  8 N 2.90, 4 F 2.90
2 Sb 0.5000 0.5000 0.5000 [1 per cell]  2 F 2.05, 4 N 2.05
3 N 0.0000 0.5000 0.5000 [2 per cell]  2 Sb 2.05
4 F 0.5000 0.5000 0.0000 [1 per cell]  2 Sb 2.05

Calculated values
ΔE to the lowest computed polymorph ... 875.3 meV per atom
Total DFT energy (no corrections) ... -4.85 eV/atom

# 2
# Pm6Nd3Tm2In

Pm6Nd3Tm2In after structural relaxation (PBE, Alexandria via LeMat-Bulk).

a = 6.2416 Å, b = 10.8533 Å, c = 11.7992 Å
α = 90.00°, β = 100.42°, γ = 90.00°
Last column: nearest neighbours and their distance in Å.
Space group C2/m (No. 12)
One atom of each set of equivalent atoms:
1 Pm 0.2423 0.1633 0.2412 [8 per cell]  1 In 3.46, 2 Tm 3.50-3.51, 6 Pm 3.54-3.65, 3 Nd 3.64-3.67
2 Pm 0.2469 0.0000 0.7564 [4 per cell]  1 In 3.50, 2 Tm 3.51, 6 Pm 3.54-3.65, 3 Nd 3.63-3.66
3 Nd 0.0000 0.1690 0.5000 [4 per cell]  6 Nd 3.58-3.67, 6 Pm 3.63-3.67
4 Nd 0.0000 0.5000 0.5000 [2 per cell]  6 Nd 3.59-3.62, 6 Pm 3.64-3.66
5 Tm 0.0000 0.3341 0.0000 [4 per cell]  6 Pm 3.50-3.51, 3 Tm 3.60-3.62, 3 In 3.60-3.63
6 In 0.0000 0.0000 0.0000 [2 per cell]  6 Pm 3.46-3.50, 6 Tm 3.60-3.63

Calculated values
Energy of formation ... -2.7 kJ/mol of atoms
Total DFT energy (no corrections) ... -4.57 eV/atom

What is the formula in the second record?
Pm6Nd3Tm2In

The highest total DFT energy (no corrections) belongs to which entry?
Pm6Nd3Tm2In

Which value of total DFT energy (no corrections) does entry 1 give?
-4.85 eV/atom